A geometry-optimized NaPrIn structure. Source: OQMD via LeMat-Bulk, functional PBE.

Space-group type: F-43m, No. 216
Raw total energy, eV for the cell shown: -31.92
ΔE to the lowest computed polymorph, eV per atom: 0.1313

Cell: 7.4639 7.4639 7.4639 Å, 90.00 90.00 90.00°
With the nearest neighbours (Å) after each atom.
Positions (direct):
Na (0.0000, 0.0000, 0.0000)  4 Pr 3.23
Na (0.0000, 0.5000, 0.5000)  4 Pr 3.23
Na (0.5000, 0.0000, 0.5000)  4 Pr 3.23
Na (0.5000, 0.5000, 0.0000)  4 Pr 3.23
Pr (0.2500, 0.2500, 0.7500)  4 In 3.23, 4 Na 3.23
Pr (0.2500, 0.7500, 0.2500)  4 In 3.23, 4 Na 3.23
Pr (0.7500, 0.2500, 0.2500)  4 In 3.23, 4 Na 3.23
Pr (0.7500, 0.7500, 0.7500)  4 In 3.23, 4 Na 3.23
In (0.0000, 0.0000, 0.5000)  4 Pr 3.23
In (0.0000, 0.5000, 0.0000)  4 Pr 3.23
In (0.5000, 0.0000, 0.0000)  4 Pr 3.23
In (0.5000, 0.5000, 0.5000)  4 Pr 3.23


A geometry-optimized Zr3ZnGa2NiIr2 structure. Source: OQMD via LeMat-Bulk, functional PBE.

Space-group type: Amm2, No. 38
Raw total energy, eV for the cell shown: -62.73

Cell: 3.4400 7.1513 7.1513 Å, 119.97 90.00 90.00°
With the nearest neighbours (Å) after each atom.
Positions (direct):
Zr (0.0000, 0.0000, 0.0000)  4 Ir 2.78, 1 Ni 2.86, 2 Zn 3.00, 4 Ga 3.05
Zr (0.0000, 0.4059, 0.8045)  4 Ir 2.78, 1 Ni 2.87, 4 Ga 3.03-3.05, 2 Zn 3.03
Zr (0.0000, 0.8045, 0.4059)  4 Ir 2.78, 1 Ni 2.87, 4 Ga 3.03-3.05, 2 Zn 3.03
Zn (0.5000, 0.6572, 0.6572)  2 Ni 2.52, 2 Ir 2.73
Ga (0.5000, 0.1520, 0.4032)  2 Ni 2.48, 2 Ir 2.71-2.72
Ga (0.5000, 0.4032, 0.1520)  2 Ni 2.48, 2 Ir 2.71-2.72
Ni (0.0000, 0.3993, 0.3993)  4 Ga 2.48, 2 Zn 2.52
Ir (0.5000, 0.0726, 0.7368)  2 Ga 2.71-2.72, 1 Zn 2.73, 6 Zr 2.78
Ir (0.5000, 0.7368, 0.0726)  2 Ga 2.71-2.72, 1 Zn 2.73, 6 Zr 2.78


A geometry-optimized HfFe2Ge structure. Source: OQMD via LeMat-Bulk, functional PBE.

Space-group type: F-43m, No. 216
Raw total energy, eV for the cell shown: -126.31

Cell: 6.1767 6.1767 6.1767 Å, 90.00 90.00 90.00°
With the nearest neighbours (Å) after each atom.
Positions (direct):
Hf (0.0000, 0.0000, 0.0000)  4 Ge 2.67, 4 Fe 2.67
Hf (0.0000, 0.5000, 0.5000)  4 Ge 2.67, 4 Fe 2.67
Hf (0.5000, 0.0000, 0.5000)  4 Ge 2.67, 4 Fe 2.67
Hf (0.5000, 0.5000, 0.0000)  4 Ge 2.67, 4 Fe 2.67
Fe (0.0000, 0.0000, 0.5000)  4 Ge 2.67, 4 Fe 2.67
Fe (0.0000, 0.5000, 0.0000)  4 Ge 2.67, 4 Fe 2.67
Fe (0.2500, 0.2500, 0.2500)  4 Hf 2.67, 4 Fe 2.67
Fe (0.2500, 0.7500, 0.7500)  4 Hf 2.67, 4 Fe 2.67
Fe (0.5000, 0.0000, 0.0000)  4 Ge 2.67, 4 Fe 2.67
Fe (0.5000, 0.5000, 0.5000)  4 Ge 2.67, 4 Fe 2.67
Fe (0.7500, 0.2500, 0.7500)  4 Hf 2.67, 4 Fe 2.67
Fe (0.7500, 0.7500, 0.2500)  4 Hf 2.67, 4 Fe 2.67
Ge (0.2500, 0.2500, 0.7500)  4 Hf 2.67, 4 Fe 2.67
Ge (0.2500, 0.7500, 0.2500)  4 Hf 2.67, 4 Fe 2.67
Ge (0.7500, 0.2500, 0.2500)  4 Hf 2.67, 4 Fe 2.67
Ge (0.7500, 0.7500, 0.7500)  4 Hf 2.67, 4 Fe 2.67


A geometry-optimized SmAu structure. Source: OQMD via LeMat-Bulk, functional PBE.

Space-group type: F-43m, No. 216
Raw total energy, eV for the cell shown: -33.81
Formation energy, eV/atom: -0.24

Cell: 6.5791 6.5791 6.5791 Å, 90.00 90.00 90.00°
With the nearest neighbours (Å) after each atom.
Positions (direct):
Sm (0.0000, 0.0000, 0.0000)  4 Au 2.85
Sm (0.0000, 0.5000, 0.5000)  4 Au 2.85
Sm (0.5000, 0.0000, 0.5000)  4 Au 2.85
Sm (0.5000, 0.5000, 0.0000)  4 Au 2.85
Au (0.2500, 0.2500, 0.2500)  4 Sm 2.85
Au (0.2500, 0.7500, 0.7500)  4 Sm 2.85
Au (0.7500, 0.2500, 0.7500)  4 Sm 2.85
Au (0.7500, 0.7500, 0.2500)  4 Sm 2.85


A geometry-optimized Re2Os structure. Source: OQMD via LeMat-Bulk, functional PBE.

Space-group type: Fm-3m, No. 225
Raw total energy, eV for the cell shown: -135.38
ΔE to the lowest computed polymorph, eV per atom: 0.2196
Formation energy, eV/atom: 0.74

Cell: 5.9412 5.9412 5.9412 Å, 90.00 90.00 90.00°
With the nearest neighbours (Å) after each atom.
Positions (direct):
Re (0.2500, 0.2500, 0.2500)  4 Os 2.57
Re (0.2500, 0.2500, 0.7500)  4 Os 2.57
Re (0.2500, 0.7500, 0.2500)  4 Os 2.57
Re (0.2500, 0.7500, 0.7500)  4 Os 2.57
Re (0.7500, 0.2500, 0.2500)  4 Os 2.57
Re (0.7500, 0.2500, 0.7500)  4 Os 2.57
Re (0.7500, 0.7500, 0.2500)  4 Os 2.57
Re (0.7500, 0.7500, 0.7500)  4 Os 2.57
Os (0.0000, 0.0000, 0.0000)  8 Re 2.57
Os (0.0000, 0.5000, 0.5000)  8 Re 2.57
Os (0.5000, 0.0000, 0.5000)  8 Re 2.57
Os (0.5000, 0.5000, 0.0000)  8 Re 2.57


A geometry-optimized Pr2GdZn3InGa2 structure. Source: OQMD via LeMat-Bulk, functional PBE.

Space-group type: Amm2, No. 38
Raw total energy, eV for the cell shown: -31.12

Cell: 4.4757 7.2286 7.2286 Å, 119.73 90.00 90.00°
With the nearest neighbours (Å) after each atom.
Positions (direct):
Pr (0.0000, 0.2191, 0.7809)  4 Ga 3.11-3.12, 2 Zn 3.17, 1 In 3.19
Pr (0.0000, 0.7809, 0.2191)  4 Ga 3.11-3.12, 2 Zn 3.17, 1 In 3.19
Gd (0.0000, 0.3408, 0.3408)  4 Ga 3.06, 1 In 3.15, 2 Zn 3.16
Zn (0.5000, 0.0332, 0.0332)  2 Ga 2.72, 2 In 2.92
Zn (0.5000, 0.5279, 0.7781)  2 Ga 2.74-2.81, 2 In 2.87
Zn (0.5000, 0.7781, 0.5279)  2 Ga 2.74-2.81, 2 In 2.87
In (0.0000, 0.7745, 0.7745)  6 Zn 2.87-2.92, 1 Gd 3.15, 2 Pr 3.19
Ga (0.5000, 0.1177, 0.4438)  3 Zn 2.72-2.81
Ga (0.5000, 0.4438, 0.1177)  3 Zn 2.72-2.81


A geometry-optimized SmZrFe structure. Source: OQMD via LeMat-Bulk, functional PBE.

Space-group type: F-43m, No. 216
Raw total energy, eV for the cell shown: -72.21
ΔE to the lowest computed polymorph, eV per atom: 0.9270
Formation energy, eV/atom: 1.17

Cell: 6.5171 6.5171 6.5171 Å, 90.00 90.00 90.00°
With the nearest neighbours (Å) after each atom.
Positions (direct):
Sm (0.0000, 0.0000, 0.0000)  4 Fe 2.82, 4 Zr 2.82
Sm (0.0000, 0.5000, 0.5000)  4 Fe 2.82, 4 Zr 2.82
Sm (0.5000, 0.0000, 0.5000)  4 Fe 2.82, 4 Zr 2.82
Sm (0.5000, 0.5000, 0.0000)  4 Fe 2.82, 4 Zr 2.82
Zr (0.2500, 0.2500, 0.2500)  4 Sm 2.82
Zr (0.2500, 0.7500, 0.7500)  4 Sm 2.82
Zr (0.7500, 0.2500, 0.7500)  4 Sm 2.82
Zr (0.7500, 0.7500, 0.2500)  4 Sm 2.82
Fe (0.2500, 0.2500, 0.7500)  4 Sm 2.82
Fe (0.2500, 0.7500, 0.2500)  4 Sm 2.82
Fe (0.7500, 0.2500, 0.2500)  4 Sm 2.82
Fe (0.7500, 0.7500, 0.7500)  4 Sm 2.82


A geometry-optimized Cu2SiHgSeS3 structure. Source: OQMD via LeMat-Bulk, functional PBE.

Space-group type: Cm, No. 8
Raw total energy, eV for the cell shown: -63.83

Cell: 7.8934 7.8934 6.5199 Å, 90.00 126.35 90.00°
With the nearest neighbours (Å) after each atom.
Positions (direct):
Cu (0.0000, 0.2372, 0.0000)  3 S 2.31, 1 Se 2.46
Cu (0.0000, 0.7628, 0.0000)  3 S 2.31, 1 Se 2.46
Cu (0.5000, 0.2628, 0.0000)  3 S 2.31, 1 Se 2.46
Cu (0.5000, 0.7372, 0.0000)  3 S 2.31, 1 Se 2.46
Si (0.0200, 0.0000, 0.5221)  3 S 2.17, 1 Se 2.31
Si (0.5200, 0.5000, 0.5221)  3 S 2.17, 1 Se 2.31
Hg (0.0026, 0.5000, 0.5134)  3 S 2.58-2.64, 1 Se 2.66
Hg (0.5026, 0.0000, 0.5134)  3 S 2.58-2.64, 1 Se 2.66
Se (0.1565, 0.5000, 0.2442)  1 Si 2.31, 2 Cu 2.46
Se (0.6565, 0.0000, 0.2442)  1 Si 2.31, 2 Cu 2.46
S (0.0974, 0.0000, 0.2540)  1 Si 2.17, 2 Cu 2.31
S (0.1426, 0.2157, 0.7769)  1 Si 2.17, 2 Cu 2.31
S (0.1426, 0.7843, 0.7769)  1 Si 2.17, 2 Cu 2.31
S (0.5974, 0.5000, 0.2540)  1 Si 2.17, 2 Cu 2.31
S (0.6426, 0.2843, 0.7769)  1 Si 2.17, 2 Cu 2.31
S (0.6426, 0.7157, 0.7769)  1 Si 2.17, 2 Cu 2.31


A geometry-optimized CsTmOs structure. Source: OQMD via LeMat-Bulk, functional PBE.

Space-group type: F-43m, No. 216
Raw total energy, eV for the cell shown: -41.64
ΔE to the lowest computed polymorph, eV per atom: 0.9551

Cell: 6.8334 6.8334 6.8334 Å, 90.00 90.00 90.00°
With the nearest neighbours (Å) after each atom.
Positions (direct):
Cs (0.0000, 0.0000, 0.0000)  4 Os 2.96, 4 Tm 2.96
Cs (0.0000, 0.5000, 0.5000)  4 Os 2.96, 4 Tm 2.96
Cs (0.5000, 0.0000, 0.5000)  4 Os 2.96, 4 Tm 2.96
Cs (0.5000, 0.5000, 0.0000)  4 Os 2.96, 4 Tm 2.96
Tm (0.2500, 0.2500, 0.2500)  4 Cs 2.96
Tm (0.2500, 0.7500, 0.7500)  4 Cs 2.96
Tm (0.7500, 0.2500, 0.7500)  4 Cs 2.96
Tm (0.7500, 0.7500, 0.2500)  4 Cs 2.96
Os (0.2500, 0.2500, 0.7500)  4 Cs 2.96
Os (0.2500, 0.7500, 0.2500)  4 Cs 2.96
Os (0.7500, 0.2500, 0.2500)  4 Cs 2.96
Os (0.7500, 0.7500, 0.7500)  4 Cs 2.96


A geometry-optimized PrTeW structure. Source: OQMD via LeMat-Bulk, functional PBE.

Space-group type: F-43m, No. 216
Raw total energy, eV for the cell shown: -69.04
ΔE to the lowest computed polymorph, eV per atom: 0.4584

Cell: 7.2919 7.2919 7.2919 Å, 90.00 90.00 90.00°
With the nearest neighbours (Å) after each atom.
Positions (direct):
Pr (0.0000, 0.0000, 0.0000)  4 W 3.16, 4 Te 3.16
Pr (0.0000, 0.5000, 0.5000)  4 W 3.16, 4 Te 3.16
Pr (0.5000, 0.0000, 0.5000)  4 W 3.16, 4 Te 3.16
Pr (0.5000, 0.5000, 0.0000)  4 W 3.16, 4 Te 3.16
Te (0.2500, 0.2500, 0.7500)  4 Pr 3.16
Te (0.2500, 0.7500, 0.2500)  4 Pr 3.16
Te (0.7500, 0.2500, 0.2500)  4 Pr 3.16
Te (0.7500, 0.7500, 0.7500)  4 Pr 3.16
W (0.2500, 0.2500, 0.2500)  4 Pr 3.16
W (0.2500, 0.7500, 0.7500)  4 Pr 3.16
W (0.7500, 0.2500, 0.7500)  4 Pr 3.16
W (0.7500, 0.7500, 0.2500)  4 Pr 3.16


Q: The lowest raw total energy belongs to which entry?
A: Re2Os


Q: Number 10 is which compound?
A: PrTeW


Q: Look up the raw total energy of the second one.
A: -62.73 eV for the cell shown